{
  "formula": "CuPt2Rh",
  "functional": "PBE",
  "state": "relaxed",
  "cell": [[-0.500, 3.237, -3.433], [-2.215, -4.010, -1.236], [-2.298, 0.903, 1.186]],
  "species": ["Pt", "Pt", "Cu", "Rh"],
  "frac_coords": [[0.000, 0.000, 0.000], [0.500, 0.500, 0.000], [0.000, 0.500, 0.500], [0.500, 0.000, 0.500]],
  "e_tot_ev_per_atom": -5.9812,
  "formation_enthalpy_0k_kj_per_mol_fu": -38.2,
  "rho_g_cm3": 15.93,
  "magmom_total_mub_per_fu": 0.000
}